Material: Ba2TlAg
Method: DFT, SCAN
State: single point on PBEsol structure

Values from the calculation:
Offset from the most stable computed form in meV per atom: 64
Size of the total moment in μB/atom: 0.0140
Energy of formation from the pure elements in eV/atom: -0.3451

a b c (Å): 4.9795 4.9795 23.1149
angles (deg): 90.00 90.00 120.00
Space group R3m (No. 160, hexagonal axes)
Asymmetric unit:
Ba (0.0000, 0.0000, 0.0000)
Ba (0.0000, 0.0000, 0.1725)
Tl (0.0000, 0.0000, 0.7523)
Ag (0.0000, 0.0000, 0.4194)